Density functional theory data (PBE) for a relaxed La3Zn crystal.

Calculated values
Formation energy   -45 meV/atom
Uncorrected energy   -4.06 eV/atom
Total magnetization   0.000 μB per atom

```
data_La3Zn
_chemical_formula_sum 'La9 Zn3'
_cell_length_a 3.7310
_cell_length_b 3.7310
_cell_length_c 32.6262
_cell_angle_alpha 90.00
_cell_angle_beta 90.00
_cell_angle_gamma 120.00
_space_group_name_H-M_alt 'R -3 m'
_space_group_IT_number 166
_space_group_name_Hall '-R 3 2"'
loop_
_atom_site_label
_atom_site_type_symbol
_atom_site_fract_x
_atom_site_fract_y
_atom_site_fract_z
La1 La 0.0000 0.0000 0.0000
La2 La 0.0000 0.0000 0.2386
Zn1 Zn 0.0000 0.0000 0.5000
```

=====

Density functional theory data (PBE) for a relaxed La2Zn3 crystal.

Calculated values
Formation energy   -317 meV/atom
Uncorrected energy   -3.05 eV/atom
Total magnetization   0.000 μB per atom

```
data_La2Zn3
_chemical_formula_sum 'La8 Zn12'
_cell_length_a 3.701
_cell_length_b 28.338
_cell_length_c 4.665
_cell_angle_alpha 90.00
_cell_angle_beta 90.00
_cell_angle_gamma 90.00
_space_group_name_H-M_alt 'C m c m'
_space_group_IT_number 63
_space_group_name_Hall '-C 2c 2'
loop_
_atom_site_label
_atom_site_type_symbol
_atom_site_fract_x
_atom_site_fract_y
_atom_site_fract_z
La1 La 0.000 0.071 0.250
La2 La 0.000 0.208 0.750
Zn1 Zn 0.000 0.332 0.750
Zn2 Zn 0.000 0.383 0.250
Zn3 Zn 0.000 0.477 0.250
```

=====

Q: Look up the total magnetization of the second one.
A: 0.000 μB per atom

=====

Q: What is the formula in the first record?
A: La3Zn